Entry from the Alexandria database: an optimized crystal structure of Y3Ho7Er2 (PBE-GGA).

Structure (POSCAR):
```
Y3Ho7Er2
1.0
3.2376 1.8692 10.9686
-3.2376 1.8692 10.9686
0.0000 -3.7385 10.9686
Y Ho Er
3 7 2
Cartesian
0.0000 0.0000 0.0000
0.0000 0.0000 4.9692
0.0000 0.0000 27.9366
-1.6365 -0.9448 13.7568
0.0000 -1.8896 19.1490
-1.6365 0.9448 19.1490
0.0000 0.0000 16.4529
1.6365 -0.9448 13.7569
0.0000 1.8896 13.7569
1.6365 0.9448 19.1490
0.0000 0.0000 10.9733
0.0000 0.0000 21.9326
```

Calculated values
Excess energy over the best structure of this formula in the dataset, kJ per mole of atoms: 18.1
Formation energy from the elements, meV/atom: 277
DOS at the Fermi energy, states/eV/f.u.: 19.3